*A*
Compound: LaZnH3
Source: the Alexandria database
Functional: PBE
Structure: optimized geometry

Computed properties:
volume = 262 Å³ per cell

abc: 6.6867 10.0390 3.9036
angles: 90.00 90.00 90.00
Last column: nearest neighbours and their distance in Å.
Space group Imm2 (No. 44)
Symmetry-distinct sites (fractional):
La  0.0000  0.1851  0.0000  8 H 2.35-2.40
Zn  0.1896  0.5000  0.9924  4 H 1.89-2.09
H  0.2078  0.1753  0.5001  1 Zn 1.89
H  0.2161  0.0000  0.0037  2 Zn 2.01-2.09



*B*
Compound: LaZnH3
Source: the Alexandria database
Functional: PBE
Structure: optimized geometry

Computed properties:
volume = 93 Å³ per cell

abc: 4.5309 4.5309 4.5309
angles: 90.00 90.00 90.00
Last column: nearest neighbours and their distance in Å.
Space group Pm-3m (No. 221)
Symmetry-distinct sites (fractional):
La  0.0000  0.0000  0.0000  6 H 2.27
Zn  0.5000  0.5000  0.5000  12 H 3.20
H  0.0000  0.0000  0.5000  2 La 2.27



Which is most stable, and by how much? *A*, by 0.349 eV/atom.



*A*
Compound: LaZnH2
Source: the Alexandria database
Functional: PBE
Structure: optimized geometry

Computed properties:
volume = 239 Å³ per cell

abc: 4.6355 4.6355 11.1069
angles: 90.00 90.00 90.00
Last column: nearest neighbours and their distance in Å.
Space group I-42d (No. 122)
Symmetry-distinct sites (fractional):
La  0.0000  0.0000  0.0000  4 H 2.39
Zn  0.0000  0.0000  0.5000  4 H 1.96
H  0.1636  0.2500  0.6250  2 Zn 1.96



*B*
Compound: LaZnH2
Source: the Alexandria database
Functional: PBE
Structure: optimized geometry

Computed properties:
volume = 223 Å³ per cell

abc: 6.0647 6.0647 6.0647
angles: 90.00 90.00 90.00
Last column: nearest neighbours and their distance in Å.
Space group Fm-3m (No. 225)
Symmetry-distinct sites (fractional):
La  0.0000  0.0000  0.0000  8 H 2.63
Zn  0.0000  0.0000  0.5000  8 H 2.63
H  0.2500  0.2500  0.2500  4 Zn 2.63, 4 La 2.63



Which is most stable, and by how much? *B*, by 0.178 eV/atom.